VASP calculation (PBE-GGA) on YSnRu3 after structural relaxation.

**DFT formation energy**: 1.73 eV per atom
**Total moment**: 3.1 μB per formula unit
**Polymorph energy (0 for the lowest one)**: 757 meV/atom
**Calculated density**: 7.3 g/cm³

Cell and atoms, written as POSCAR:
```
YSnRu3
1.0
4.869 0.000 0.000
0.000 4.869 0.000
0.000 0.000 4.869
Y Sn Ru
1 1 3
Direct
0.000 0.000 0.000
0.500 0.500 0.500
0.000 0.000 0.500
0.000 0.500 0.000
0.500 0.000 0.000
```